A relaxed SrLi2MgCd crystal. Source: Alexandria via LeMat-Bulk, functional GGA-PBE.

extended XYZ file:
```
5
Lattice="5.261 0.000 0.000 0.000 5.261 0.000 0.000 0.000 5.319" Properties=species:S:1:pos:R:3 pbc="T T T"
Sr 0.000 0.000 0.000
Li 0.000 2.630 2.660
Li 2.630 0.000 2.660
Mg 2.630 2.630 0.000
Cd 2.630 2.630 2.660
```

Calculated values
The calculation puts the raw total energy at -1.599 eV/atom. Its energy of formation from the pure elements is 0.0048 eV/atom. The symmetry is P4/mmm (123). The calculation puts the spin magnetization at 0.0 μB per formula unit.